# LaYAs

LaYAs after structural relaxation (PBE, Alexandria via LeMat-Bulk).

Summary:
Energy ... -6.2261 eV per atom
E_form ... -0.88 eV/atom
Calculated volume ... 97.38 Å³/cell
Crystal system ... trigonal

Cell: 4.0796 4.0796 6.7559 Å, 90.00 90.00 120.00°
Closest atoms and distances in Å follow each position.
Space group P3m1 (No. 156)
Inequivalent atoms, fractional coordinates:
La (0.0000, 0.0000, 0.0000) x1  3 As 2.99
Y (0.3333, 0.6667, 0.4890) x1  3 As 2.86
As (0.6667, 0.3333, 0.7286) x1  3 Y 2.86, 3 La 2.99

***

# NaCd2Ag6

NaCd2Ag6 after structural relaxation (PBE, Alexandria via LeMat-Bulk).

Summary:
Energy ... -2.2675 eV per atom
E_form ... -0.02 eV/atom
Calculated volume ... 343.87 Å³/cell
E above lowest polymorph ... 0 meV/atom
Crystal system ... tetragonal

Cell: 8.9113 8.9113 4.3302 Å, 90.00 90.00 90.00°
Closest atoms and distances in Å follow each position.
Space group P4_2/mnm (No. 136)
Inequivalent atoms, fractional coordinates:
Na (0.0000, 0.0000, 0.0000) x2  8 Ag 3.00-3.01, 4 Cd 3.08
Cd (0.1737, 0.1737, 0.5000) x4  10 Ag 2.94-3.02, 2 Na 3.08
Ag (0.0039, 0.3369, 0.0000) x8  8 Ag 2.91-3.05, 3 Cd 2.94-3.02, 1 Na 3.00
Ag (0.1656, 0.8344, 0.5000) x4  6 Ag 2.95-3.05, 4 Cd 2.96-3.02, 2 Na 3.01